Density functional theory data (PBE-GGA) for a relaxed ErTm2Zn3Au3 crystal.

```
ErTm2Zn3Au3
1.0
-2.736 0.181 2.663
4.807 -2.460 5.106
-0.721 7.293 -1.235
Zn Au Er Tm
3 3 1 2
Direct
0.500 0.000 0.741 Zn
0.500 0.260 0.260 Zn
0.500 0.741 0.000 Zn
0.500 0.667 0.332 Au
0.000 0.001 0.001 Au
0.500 0.332 0.667 Au
0.000 0.597 0.597 Er
0.000 0.000 0.402 Tm
0.000 0.402 0.000 Tm
```

## Properties
Its crystal system is orthorhombic. Its energy of formation from the pure elements is -0.69 eV/atom. For the energy, the calculation gives -3.71 eV per atom.

***

Density functional theory data (PBE-GGA) for a relaxed ErUAu crystal.

```
ErUAu
1.0
-1.117 -3.494 3.165
-2.365 1.096 4.084
-4.612 -1.368 0.570
Er Au U
1 1 1
Direct
0.750 0.750 0.750 Er
0.250 0.250 0.250 Au
0.000 0.000 0.000 U
```

## Properties
Its crystal system is cubic. Its energy of formation from the pure elements is 0.64 eV/atom. For the energy, the calculation gives -5.73 eV per atom.

***

Density functional theory data (PBE-GGA) for a relaxed ErWAu crystal.

```
ErWAu
1.0
-2.275 -3.678 1.776
0.552 -1.140 4.500
-3.504 0.656 3.025
Au Er W
1 1 1
Direct
0.250 0.250 0.250 Au
0.000 0.000 0.000 Er
0.750 0.750 0.750 W
```

## Properties
Its crystal system is cubic. Its energy of formation from the pure elements is 1.17 eV/atom. For the energy, the calculation gives -5.76 eV per atom.

***

Density functional theory data (PBE-GGA) for a relaxed YErAu2 crystal.

```
YErAu2
1.0
4.644 0.000 0.000
0.000 1.852 5.462
0.000 -1.852 5.462
Er Y Au
1 1 2
Direct
0.000 0.640 0.640 Er
0.500 0.360 0.360 Y
0.500 0.089 0.089 Au
0.000 0.911 0.911 Au
```

## Properties
Its crystal system is orthorhombic. Its energy of formation from the pure elements is -0.89 eV/atom. For the energy, the calculation gives -5.28 eV per atom.

***

Number 1: magnetization 0.008 μB per formula unit. Number 2: magnetization 2.795 μB per formula unit. Number 3: magnetization 3.039 μB per formula unit. Number 4: magnetization 0.001 μB per formula unit.